Entry 1:
{"formula": "LiFeGeMo", "functional": "PBE", "state": "relaxed", "crystal_system": "cubic", "relative_energy_ev_per_atom": 0.250, "sg": "No. 216", "lattice_angstrom": [[0.000, 2.990, 2.990], [2.990, 0.000, 2.990], [2.990, 2.990, 0.000]], "species": ["Li", "Fe", "Ge", "Mo"], "fractional_positions": [[0.000, 0.000, 0.000], [0.750, 0.750, 0.750], [0.500, 0.500, 0.500], [0.250, 0.250, 0.250]]}

Entry 2:
{"formula": "Ac3Al7Ag2", "functional": "PBE", "state": "relaxed", "crystal_system": "trigonal", "energy_ev_per_atom": -4.06, "sg": "No. 166", "lattice_angstrom": [[2.927, 1.690, 9.159], [-2.927, 1.690, 9.159], [0.000, -3.380, 9.159]], "species": ["Ac", "Ac", "Ac", "Al", "Al", "Al", "Al", "Al", "Al", "Al", "Ag", "Ag"], "fractional_positions": [[0.000, 0.000, 0.000], [0.142, 0.142, 0.142], [0.858, 0.858, 0.858], [0.072, 0.585, 0.585], [0.415, 0.415, 0.928], [0.415, 0.928, 0.415], [0.500, 0.500, 0.500], [0.585, 0.072, 0.585], [0.585, 0.585, 0.072], [0.928, 0.415, 0.415], [0.337, 0.337, 0.337], [0.663, 0.663, 0.663]]}